Computed, not measured: crystalline Li3Zn8Cu at its relaxed geometry at the PBE-GGA level of DFT.

Results
- M_tot (μB/f.u.) = 0.00

Cell: 5.049 5.049 8.877 Å, 73.48 73.48 60.00°
Atoms (fractional coordinates):
Zn: 0.064 0.563 0.809
Zn: 0.813 0.813 0.562
Zn: 0.062 0.560 0.315
Zn: 0.563 0.064 0.809
Zn: 0.560 0.062 0.315
Zn: 0.062 0.062 0.315
Zn: 0.563 0.563 0.809
Zn: 0.312 0.312 0.064
Li: 0.002 0.002 0.994
Li: 0.624 0.624 0.127
Li: 0.498 0.498 0.505
Cu: 0.125 0.125 0.625



Computed, not measured: crystalline RbBaLiBr4 at its relaxed geometry at the PBE-GGA level of DFT.

Results
- M_tot (μB/f.u.) = 0.00

Cell: 7.516 7.482 9.555 Å, 90.00 108.09 90.00°
Atoms (fractional coordinates):
Br: 0.004 0.502 0.731
Br: 0.424 0.750 0.143
Br: 0.419 0.750 0.576
Br: 0.576 0.250 0.857
Br: 0.581 0.250 0.424
Br: 0.996 0.498 0.269
Br: 0.996 0.002 0.269
Br: 0.004 0.998 0.731
Li: 0.775 0.250 0.692
Li: 0.225 0.750 0.308
Ba: 0.228 0.250 0.555
Ba: 0.772 0.750 0.445
Rb: 0.729 0.750 0.934
Rb: 0.271 0.250 0.066



Computed, not measured: crystalline SrCaIn at its relaxed geometry at the PBE-GGA level of DFT.

Results
- M_tot (μB/f.u.) = 0.00

Cell: 5.653 5.653 3.940 Å, 90.00 90.00 120.00°
Atoms (fractional coordinates):
Ca: 0.000 0.000 0.111
Sr: 0.667 0.333 0.650
In: 0.333 0.667 0.239



Number 1: calculated volume 185.1 Å³/cell, raw total energy -1.778 eV/atom. Number 2: calculated volume 510.8 Å³/cell, raw total energy -3.515 eV/atom. Number 3: calculated volume 109.0 Å³/cell, raw total energy -2.367 eV/atom.